No. 1
# TlCdCu2Sb, relaxed, DFT PBE-GGA
# Formation energy from raw total energies   407 meV/atom
# M_tot   0.000 μB/atom
# Crystal system   tetragonal
data_TlCdCu2Sb
_space_group_name_H-M_alt 'P 4/m m m'
_space_group_IT_number 123
_space_group_name_Hall '-P 4 2'
_cell_length_a 4.865
_cell_length_b 4.865
_cell_length_c 5.926
_cell_angle_alpha 90.00
_cell_angle_beta 90.00
_cell_angle_gamma 90.00
loop_
_atom_site_label
_atom_site_type_symbol
_atom_site_fract_x
_atom_site_fract_y
_atom_site_fract_z
Tl1 Tl 0.000 0.000 0.000
Cd1 Cd 0.500 0.500 0.000
Cu1 Cu 0.000 0.500 0.500
Sb1 Sb 0.500 0.500 0.500

No. 2
# GdGePb2, relaxed, DFT PBE-GGA
# M_tot   1.713 μB/atom
# Formation energy from the elements   -0.304 eV/atom
# Crystal system   tetragonal
# ΔE to the lowest computed polymorph   0.0 kJ/mol of formula units
data_GdGePb2
_space_group_name_H-M_alt 'P 4/m m m'
_space_group_IT_number 123
_space_group_name_Hall '-P 4 2'
_cell_length_a 4.653
_cell_length_b 4.653
_cell_length_c 4.900
_cell_angle_alpha 90.00
_cell_angle_beta 90.00
_cell_angle_gamma 90.00
loop_
_atom_site_label
_atom_site_type_symbol
_atom_site_fract_x
_atom_site_fract_y
_atom_site_fract_z
Gd1 Gd 0.000 0.000 0.000
Ge1 Ge 0.500 0.500 0.000
Pb1 Pb 0.000 0.500 0.500

No. 3
# LiTb4Pr3Se8, relaxed, DFT PBE-GGA
# Formation energy from raw total energies   -1777 meV/atom
# M_tot   0.000 μB/atom
# Crystal system   trigonal
data_LiTb4Pr3Se8
_space_group_name_H-M_alt 'R -3 m'
_space_group_IT_number 166
_space_group_name_Hall '-R 3 2"'
_cell_length_a 8.3001
_cell_length_b 8.3001
_cell_length_c 20.4168
_cell_angle_alpha 90.00
_cell_angle_beta 90.00
_cell_angle_gamma 120.00
loop_
_atom_site_label
_atom_site_type_symbol
_atom_site_fract_x
_atom_site_fract_y
_atom_site_fract_z
Li1 Li 0.0000 0.0000 0.0000
Tb1 Tb 0.0000 0.0000 0.5000
Tb2 Tb 0.0000 0.5000 0.5000
Pr1 Pr 0.0000 0.5000 0.0000
Se1 Se 0.0000 0.0000 0.2451
Se2 Se 0.0110 0.5055 0.7521

No. 4
# YAlSi, relaxed, DFT PBE-GGA
# Formation energy from raw total energies   -295 meV/atom
# M_tot   0.000 μB/atom
# Crystal system   monoclinic
data_YAlSi
_space_group_name_H-M_alt 'C 1 2 1'
_space_group_IT_number 5
_cell_length_a 4.583
_cell_length_b 10.388
_cell_length_c 3.217
_cell_angle_alpha 90.00
_cell_angle_beta 127.44
_cell_angle_gamma 90.00
loop_
_space_group_symop_operation_xyz
'x,y,z'
'-x,y,-z'
'x+1/2,y+1/2,z'
'-x+1/2,y+1/2,-z'
loop_
_atom_site_label
_atom_site_type_symbol
_atom_site_fract_x
_atom_site_fract_y
_atom_site_fract_z
Y1 Y 0.000 0.000 0.000
Al1 Al 0.000 0.299 0.000
Si1 Si 0.000 0.689 0.000

No. 5
# BaMn2Pt, relaxed, DFT PBE-GGA
# M_tot   2.184 μB/atom
# Formation energy from the elements   0.178 eV/atom
# Crystal system   monoclinic
data_BaMn2Pt
_space_group_name_H-M_alt 'P 1 m 1'
_space_group_IT_number 6
_cell_length_a 3.905
_cell_length_b 4.240
_cell_length_c 6.626
_cell_angle_alpha 90.00
_cell_angle_beta 105.26
_cell_angle_gamma 90.00
loop_
_space_group_symop_operation_xyz
'x,y,z'
'x,-y,z'
loop_
_atom_site_label
_atom_site_type_symbol
_atom_site_fract_x
_atom_site_fract_y
_atom_site_fract_z
Ba1 Ba 0.000 0.000 0.000
Mn1 Mn 0.287 0.000 0.517
Mn2 Mn 0.764 0.500 0.472
Pt1 Pt 0.384 0.500 0.740

No. 6
# Ce4Sn2Os, relaxed, DFT PBE-GGA
# M_tot   0.394 μB/atom
# Formation energy from the elements   -0.202 eV/atom
# Crystal system   orthorhombic
data_Ce4Sn2Os
_space_group_name_H-M_alt 'C m m m'
_space_group_IT_number 65
_space_group_name_Hall '-C 2 2'
_cell_length_a 6.569
_cell_length_b 17.302
_cell_length_c 3.685
_cell_angle_alpha 90.00
_cell_angle_beta 90.00
_cell_angle_gamma 90.00
loop_
_atom_site_label
_atom_site_type_symbol
_atom_site_fract_x
_atom_site_fract_y
_atom_site_fract_z
Ce1 Ce 0.000 0.171 0.000
Ce2 Ce 0.213 0.500 0.500
Sn1 Sn 0.000 0.332 0.500
Os1 Os 0.000 0.000 0.000

No. 7
# ErTmCoCu, relaxed, DFT PBE-GGA
# M_tot   0.000 μB/atom
# Formation energy from the elements   -0.254 eV/atom
# Crystal system   orthorhombic
# ΔE to the lowest computed polymorph   0.0 kJ/mol of formula units
data_ErTmCoCu
_space_group_name_H-M_alt 'A m m 2'
_space_group_IT_number 38
_cell_length_a 4.159
_cell_length_b 3.762
_cell_length_c 10.124
_cell_angle_alpha 90.00
_cell_angle_beta 90.00
_cell_angle_gamma 90.00
loop_
_space_group_symop_operation_xyz
'x,y,z'
'-x,-y,z'
'-x,y,z'
'x,-y,z'
'x,y+1/2,z+1/2'
'-x,-y+1/2,z+1/2'
'-x,y+1/2,z+1/2'
'x,-y+1/2,z+1/2'
loop_
_atom_site_label
_atom_site_type_symbol
_atom_site_fract_x
_atom_site_fract_y
_atom_site_fract_z
Er1 Er 0.000 0.000 0.000
Tm1 Tm 0.500 0.000 0.718
Co1 Co 0.000 0.000 0.285
Cu1 Cu 0.500 0.000 0.426

No. 8
# CeY2HoSe6, relaxed, DFT PBE-GGA
# Formation energy from raw total energies   -1826 meV/atom
# M_tot   0.101 μB/atom
# Crystal system   trigonal
data_CeY2HoSe6
_space_group_name_H-M_alt 'R 3'
_space_group_IT_number 146
_space_group_name_Hall 'R 3'
_cell_length_a 7.2852
_cell_length_b 7.2852
_cell_length_c 19.5436
_cell_angle_alpha 90.00
_cell_angle_beta 90.00
_cell_angle_gamma 120.00
loop_
_atom_site_label
_atom_site_type_symbol
_atom_site_fract_x
_atom_site_fract_y
_atom_site_fract_z
Ce1 Ce 0.0000 0.0000 0.0000
Y1 Y 0.0000 0.0000 0.1985
Y2 Y 0.0000 0.0000 0.7018
Ho1 Ho 0.0000 0.0000 0.5046
Se1 Se 0.0001 0.3081 0.1034
Se2 Se 0.0446 0.6840 0.2693

No. 9
# HfMg, relaxed, DFT PBE-GGA
# M_tot   0.000 μB/atom
# Formation energy from the elements   0.126 eV/atom
# Crystal system   trigonal
data_HfMg
_space_group_name_H-M_alt 'R -3 m'
_space_group_IT_number 166
_space_group_name_Hall '-R 3 2"'
_cell_length_a 3.0534
_cell_length_b 3.0534
_cell_length_c 16.3378
_cell_angle_alpha 90.00
_cell_angle_beta 90.00
_cell_angle_gamma 120.00
loop_
_atom_site_label
_atom_site_type_symbol
_atom_site_fract_x
_atom_site_fract_y
_atom_site_fract_z
Hf1 Hf 0.0000 0.0000 0.0000
Mg1 Mg 0.0000 0.0000 0.5000

No. 10
# LiCo2Te, relaxed, DFT PBE-GGA
# Formation energy from raw total energies   210 meV/atom
# M_tot   0.746 μB/atom
# Crystal system   tetragonal
data_LiCo2Te
_space_group_name_H-M_alt 'P 4 m m'
_space_group_IT_number 99
_cell_length_a 3.326
_cell_length_b 3.326
_cell_length_c 5.328
_cell_angle_alpha 90.00
_cell_angle_beta 90.00
_cell_angle_gamma 90.00
loop_
_space_group_symop_operation_xyz
'x,y,z'
'-y,x,z'
'-x,-y,z'
'y,-x,z'
'-x,y,z'
'y,x,z'
'x,-y,z'
'-y,-x,z'
loop_
_atom_site_label
_atom_site_type_symbol
_atom_site_fract_x
_atom_site_fract_y
_atom_site_fract_z
Li1 Li 0.000 0.000 0.000
Co1 Co 0.000 0.000 0.541
Co2 Co 0.500 0.500 0.758
Te1 Te 0.500 0.500 0.280

No. 11
# CrCdAg2, relaxed, DFT PBE-GGA
# M_tot   1.049 μB/atom
# Formation energy from the elements   0.245 eV/atom
# Crystal system   orthorhombic
data_CrCdAg2
_space_group_name_H-M_alt 'P m m 2'
_space_group_IT_number 25
_cell_length_a 3.058
_cell_length_b 4.034
_cell_length_c 5.935
_cell_angle_alpha 90.00
_cell_angle_beta 90.00
_cell_angle_gamma 90.00
loop_
_space_group_symop_operation_xyz
'x,y,z'
'-x,-y,z'
'-x,y,z'
'x,-y,z'
loop_
_atom_site_label
_atom_site_type_symbol
_atom_site_fract_x
_atom_site_fract_y
_atom_site_fract_z
Cr1 Cr 0.000 0.000 0.000
Cd1 Cd 0.500 0.500 0.745
Ag1 Ag 0.000 0.000 0.490
Ag2 Ag 0.500 0.500 0.237

No. 12
# ZrScSn2Pt, relaxed, DFT PBE-GGA
# M_tot   0.000 μB/atom
# Formation energy from the elements   0.820 eV/atom
# Crystal system   tetragonal
data_ZrScSn2Pt
_space_group_name_H-M_alt 'P 4/m m m'
_space_group_IT_number 123
_space_group_name_Hall '-P 4 2'
_cell_length_a 5.415
_cell_length_b 5.415
_cell_length_c 4.961
_cell_angle_alpha 90.00
_cell_angle_beta 90.00
_cell_angle_gamma 90.00
loop_
_atom_site_label
_atom_site_type_symbol
_atom_site_fract_x
_atom_site_fract_y
_atom_site_fract_z
Zr1 Zr 0.000 0.000 0.000
Sc1 Sc 0.000 0.000 0.500
Sn1 Sn 0.000 0.500 0.000
Pt1 Pt 0.500 0.500 0.500

No. 13
# TbNd2HgN, relaxed, DFT PBE-GGA
# Formation energy from raw total energies   -802 meV/atom
# M_tot   0.000 μB/atom
# Crystal system   tetragonal
data_TbNd2HgN
_space_group_name_H-M_alt 'P 4/m m m'
_space_group_IT_number 123
_space_group_name_Hall '-P 4 2'
_cell_length_a 5.040
_cell_length_b 5.040
_cell_length_c 4.805
_cell_angle_alpha 90.00
_cell_angle_beta 90.00
_cell_angle_gamma 90.00
loop_
_atom_site_label
_atom_site_type_symbol
_atom_site_fract_x
_atom_site_fract_y
_atom_site_fract_z
Tb1 Tb 0.000 0.000 0.000
Nd1 Nd 0.000 0.500 0.500
Hg1 Hg 0.500 0.500 0.000
N1 N 0.000 0.000 0.500